Below is a relaxed structure of AcTb3Hg4, with properties calculated at the PBE level.

total DFT energy (no corrections) = -22.79 eV per formula unit
formation energy from the elements = -43.3 kJ per mole of atoms

abc: 5.369 7.734 10.737
angles: 90.00 90.00 90.00
Site moments in Bohr magnetons follow the coordinates.
Atoms (fractional coordinates):
Hg: 0.000 0.771 0.250  0.01
Hg: 0.500 0.771 0.000  0.01
Hg: 0.000 0.229 0.750  0.01
Hg: 0.000 0.229 0.250  0.01
Hg: 0.000 0.771 0.750  0.01
Hg: 0.500 0.229 0.500  0.01
Hg: 0.500 0.229 0.000  0.01
Hg: 0.500 0.771 0.500  0.01
Ac: 0.000 0.500 0.500  0.10
Ac: 0.000 0.500 0.000  0.10
Tb: 0.500 0.000 0.250  0.08
Tb: 0.000 0.000 0.000  0.11
Tb: 0.500 0.500 0.250  0.23
Tb: 0.000 0.000 0.500  0.11
Tb: 0.500 0.500 0.750  0.23
Tb: 0.500 0.000 0.750  0.08



Below is a relaxed structure of AcTb4Hg, with properties calculated at the PBE level.

total DFT energy (no corrections) = -23.68 eV per formula unit
formation energy from the elements = -12.1 kJ per mole of atoms

abc: 3.698 3.698 14.040
angles: 90.00 90.00 90.00
Atoms (fractional coordinates):
Tb: 0.000 0.000 0.637
Tb: 0.500 0.500 0.810
Tb: 0.500 0.500 0.190
Tb: 0.000 0.000 0.363
Hg: 0.500 0.500 0.500
Ac: 0.000 0.000 0.000



Below is a relaxed structure of Ac3TbHg6, with properties calculated at the PBE level.

total DFT energy (no corrections) = -22.99 eV per formula unit
E above lowest polymorph = 0 meV per atom
formation energy from the elements = -40.8 kJ per mole of atoms

abc: 5.418 9.849 11.906
angles: 109.17 90.00 90.00
Atoms (fractional coordinates):
Ac: 0.250 0.780 0.991
Ac: 0.250 0.344 0.780
Ac: 0.750 0.656 0.220
Ac: 0.750 0.220 0.009
Ac: 0.750 0.492 0.619
Ac: 0.250 0.508 0.381
Hg: 0.250 0.875 0.309
Hg: 0.250 0.686 0.694
Hg: 0.250 0.044 0.865
Hg: 0.750 0.771 0.515
Hg: 0.750 0.530 0.918
Hg: 0.250 0.229 0.485
Hg: 0.250 0.470 0.082
Hg: 0.750 0.850 0.828
Hg: 0.750 0.125 0.691
Hg: 0.250 0.150 0.172
Hg: 0.750 0.314 0.306
Hg: 0.750 0.956 0.135
Tb: 0.250 0.940 0.588
Tb: 0.750 0.060 0.412



Below is a relaxed structure of AcTbHg2, with properties calculated at the PBE level.

total DFT energy (no corrections) = -10.59 eV per formula unit
formation energy from the elements = -30.2 kJ per mole of atoms

abc: 4.010 4.010 9.547
angles: 77.88 77.88 60.06
Atoms (fractional coordinates):
Ac: 0.666 0.666 0.000
Hg: 0.243 0.243 0.271
Hg: 0.091 0.091 0.729
Tb: 0.500 0.500 0.500



Below is a relaxed structure of Ac3TbHg6, with properties calculated at the PBE level.

total DFT energy (no corrections) = -17.45 eV per formula unit
E above lowest polymorph = 554 meV per atom
formation energy from the elements = 12.7 kJ per mole of atoms

abc: 8.164 8.164 8.164
angles: 60.00 60.00 60.00
Atoms (fractional coordinates):
Hg: 0.242 0.758 0.242
Hg: 0.758 0.758 0.242
Hg: 0.242 0.758 0.758
Hg: 0.758 0.242 0.242
Hg: 0.758 0.242 0.758
Hg: 0.242 0.242 0.758
Ac: 0.500 0.500 0.500
Ac: 0.750 0.750 0.750
Ac: 0.250 0.250 0.250
Tb: 0.000 0.000 0.000



Below is a relaxed structure of AcTbHg4, with properties calculated at the PBE level.

total DFT energy (no corrections) = -11.20 eV per formula unit
E above lowest polymorph = 196 meV per atom
formation energy from the elements = -20.2 kJ per mole of atoms

abc: 4.585 4.590 9.118
angles: 89.96 89.98 90.00
Atoms (fractional coordinates):
Tb: 0.001 0.997 0.498
Hg: 0.501 0.997 0.727
Hg: 0.501 0.997 0.269
Hg: 0.001 0.497 0.270
Hg: 0.001 0.497 0.727
Ac: 0.501 0.497 0.998



Below is a relaxed structure of AcTb3Hg6, with properties calculated at the PBE level.

total DFT energy (no corrections) = -24.15 eV per formula unit
formation energy from the elements = -41.9 kJ per mole of atoms

abc: 5.226 9.382 11.570
angles: 107.25 90.00 90.00
Atoms (fractional coordinates):
Tb: 0.750 0.230 0.998
Tb: 0.750 0.498 0.614
Tb: 0.250 0.502 0.386
Tb: 0.250 0.770 0.002
Tb: 0.750 0.648 0.186
Tb: 0.250 0.352 0.814
Hg: 0.750 0.940 0.084
Hg: 0.750 0.728 0.464
Hg: 0.750 0.190 0.696
Hg: 0.250 0.060 0.916
Hg: 0.250 0.272 0.536
Hg: 0.250 0.635 0.723
Hg: 0.750 0.847 0.797
Hg: 0.250 0.810 0.304
Hg: 0.750 0.365 0.277
Hg: 0.250 0.462 0.095
Hg: 0.250 0.153 0.203
Hg: 0.750 0.538 0.905
Ac: 0.250 0.927 0.618
Ac: 0.750 0.073 0.382



Below is a relaxed structure of Ac2Tb12Hg7, with properties calculated at the PBE level.

total DFT energy (no corrections) = -71.43 eV per formula unit
formation energy from the elements = -25.4 kJ per mole of atoms

abc: 3.728 13.969 13.969
angles: 120.00 90.00 90.00
Atoms (fractional coordinates):
Hg: 0.000 0.773 0.962
Hg: 0.500 0.474 0.120
Hg: 0.000 0.038 0.811
Hg: 0.500 0.646 0.526
Hg: 0.500 0.880 0.354
Hg: 0.000 0.333 0.667
Hg: 0.000 0.189 0.227
Tb: 0.000 0.458 0.929
Tb: 0.000 0.071 0.528
Tb: 0.000 0.266 0.035
Tb: 0.500 0.225 0.437
Tb: 0.000 0.965 0.231
Tb: 0.000 0.769 0.734
Tb: 0.500 0.703 0.095
Tb: 0.500 0.905 0.608
Tb: 0.500 0.392 0.297
Tb: 0.500 0.563 0.788
Tb: 0.000 0.472 0.542
Tb: 0.500 0.212 0.775
Ac: 0.500 0.000 0.000
Ac: 0.000 0.667 0.333



Below is a relaxed structure of Ac2TbHg3, with properties calculated at the PBE level.

total DFT energy (no corrections) = -16.50 eV per formula unit
formation energy from the elements = -44.2 kJ per mole of atoms

abc: 3.891 3.891 12.129
angles: 90.00 90.00 90.00
Site moments in Bohr magnetons follow the coordinates.
Atoms (fractional coordinates):
Hg: 0.000 0.000 0.640  0.01
Hg: 0.000 0.000 0.000  0.01
Hg: 0.000 0.000 0.360  0.01
Ac: 0.500 0.500 0.177  0.09
Ac: 0.500 0.500 0.823  0.09
Tb: 0.500 0.500 0.500  0.07



Below is a relaxed structure of Ac2TbHgTe5, with properties calculated at the PBE level.

total DFT energy (no corrections) = -39.90 eV per formula unit
ΔE_f (raw) = -1.227 eV per atom

abc: 4.549 10.046 13.782
angles: 90.00 90.00 103.09
Atoms (fractional coordinates):
Te: 0.294 0.588 0.660
Te: 0.496 0.991 0.278
Te: 0.298 0.596 0.341
Te: 0.702 0.404 0.841
Te: 0.504 0.009 0.778
Te: 0.706 0.412 0.160
Te: 0.649 0.298 0.499
Te: 0.961 0.922 0.587
Te: 0.351 0.702 0.999
Te: 0.039 0.078 0.087
Tb: 0.811 0.622 0.503
Tb: 0.189 0.378 0.003
Ac: 0.125 0.249 0.306
Ac: 0.875 0.751 0.806
Ac: 0.122 0.243 0.684
Ac: 0.878 0.757 0.184
Hg: 0.566 0.132 0.966
Hg: 0.434 0.868 0.466



Below is a relaxed structure of AcTb2Tl2Hg2, with properties calculated at the PBE level.

total DFT energy (no corrections) = -20.55 eV per formula unit
formation energy from the elements = -25.4 kJ per mole of atoms

abc: 5.072 5.072 9.747
angles: 74.92 74.92 60.00
Atoms (fractional coordinates):
Hg: 0.440 0.440 0.680
Hg: 0.560 0.560 0.320
Tl: 0.264 0.264 0.208
Tl: 0.736 0.736 0.792
Tb: 0.135 0.135 0.595
Tb: 0.865 0.865 0.405
Ac: 0.000 0.000 0.000



Below is a relaxed structure of AcTbTlHg, with properties calculated at the PBE level.

total DFT energy (no corrections) = -12.90 eV per formula unit
E above lowest polymorph = 32 meV per atom
formation energy from the elements = -36.1 kJ per mole of atoms

abc: 5.589 5.589 5.589
angles: 60.00 60.00 60.00
Site moments in Bohr magnetons follow the coordinates.
Atoms (fractional coordinates):
Ac: 0.750 0.750 0.750  0.09
Tl: 0.000 0.000 0.000  0.00
Tb: 0.250 0.250 0.250  0.23
Hg: 0.500 0.500 0.500  0.03



Below is a relaxed structure of AcTbTlHg, with properties calculated at the PBE level.

total DFT energy (no corrections) = -13.03 eV per formula unit
E above lowest polymorph = 0 meV per atom
formation energy from the elements = -39.2 kJ per mole of atoms

abc: 3.907 3.907 7.962
angles: 90.00 90.00 90.00
Site moments in Bohr magnetons follow the coordinates.
Atoms (fractional coordinates):
Hg: 0.000 0.000 0.391  0.01
Tb: 0.500 0.500 0.596  0.03
Ac: 0.500 0.500 0.113  0.08
Tl: 0.000 0.000 0.828  0.00



Below is a relaxed structure of Ac2TbTm2Hg5, with properties calculated at the PBE level.

total DFT energy (no corrections) = -26.84 eV per formula unit
formation energy from the elements = -34.1 kJ per mole of atoms

abc: 3.983 12.109 12.109
angles: 90.00 90.00 90.00
Site moments in Bohr magnetons follow the coordinates.
Atoms (fractional coordinates):
Hg: 0.500 0.685 0.423  0.00
Hg: 0.500 0.923 0.185  0.00
Hg: 0.500 0.500 0.000  0.01
Hg: 0.500 0.077 0.815  0.00
Hg: 0.500 0.577 0.685  0.00
Hg: 0.500 0.185 0.077  0.00
Hg: 0.500 0.315 0.577  0.00
Hg: 0.500 0.423 0.315  0.00
Hg: 0.500 0.815 0.923  0.00
Hg: 0.500 0.000 0.500  0.01
Tb: 0.000 0.500 0.500  0.00
Tb: 0.000 0.000 0.000  0.00
Ac: 0.000 0.827 0.673  0.09
Ac: 0.000 0.327 0.827  0.09
Ac: 0.000 0.673 0.173  0.09
Ac: 0.000 0.173 0.327  0.09
Tm: 0.000 0.872 0.372  0.04
Tm: 0.000 0.628 0.872  0.04
Tm: 0.000 0.128 0.628  0.04
Tm: 0.000 0.372 0.128  0.04



Below is a relaxed structure of AcTbZnHg, with properties calculated at the PBE level.

total DFT energy (no corrections) = -11.79 eV per formula unit
E above lowest polymorph = 0 meV per atom
formation energy from the elements = -35.6 kJ per mole of atoms

abc: 3.778 3.778 7.779
angles: 90.00 90.00 90.00
Atoms (fractional coordinates):
Zn: 0.000 0.000 0.391
Tb: 0.500 0.500 0.593
Hg: 0.000 0.000 0.822
Ac: 0.500 0.500 0.122



Below is a relaxed structure of AcTbZnHg, with properties calculated at the PBE level.

total DFT energy (no corrections) = -11.59 eV per formula unit
E above lowest polymorph = 50 meV per atom
formation energy from the elements = -30.8 kJ per mole of atoms

abc: 5.437 5.437 5.437
angles: 60.00 60.00 60.00
Site moments in Bohr magnetons follow the coordinates.
Atoms (fractional coordinates):
Zn: 0.000 0.000 0.000  0.01
Hg: 0.500 0.500 0.500  0.02
Tb: 0.750 0.750 0.750  0.20
Ac: 0.250 0.250 0.250  0.09



Below is a relaxed structure of Ac3TcHg, with properties calculated at the PBE level.

total DFT energy (no corrections) = -23.07 eV per formula unit
E above lowest polymorph = 121 meV per atom
formation energy from the elements = -1.5 kJ per mole of atoms

abc: 5.675 5.675 5.675
angles: 90.00 90.00 90.00
Atoms (fractional coordinates):
Ac: 0.000 0.500 0.000
Ac: 0.500 0.000 0.000
Ac: 0.000 0.000 0.500
Hg: 0.500 0.500 0.500
Tc: 0.000 0.000 0.000



Below is a relaxed structure of Ac3TcHg, with properties calculated at the PBE level.

total DFT energy (no corrections) = -23.67 eV per formula unit
E above lowest polymorph = 0 meV per atom
formation energy from the elements = -13.1 kJ per mole of atoms

abc: 4.252 9.505 9.248
angles: 111.80 90.00 90.00
Atoms (fractional coordinates):
Hg: 0.250 0.356 0.244
Hg: 0.750 0.644 0.756
Ac: 0.750 0.055 0.222
Ac: 0.250 0.945 0.778
Ac: 0.250 0.327 0.601
Ac: 0.750 0.320 0.956
Ac: 0.250 0.680 0.044
Ac: 0.750 0.673 0.399
Tc: 0.250 0.940 0.452
Tc: 0.750 0.060 0.548



Below is a relaxed structure of Ac6Tc2Hg, with properties calculated at the PBE level.

total DFT energy (no corrections) = -45.96 eV per formula unit
formation energy from the elements = -2.9 kJ per mole of atoms

abc: 9.332 9.332 9.332
angles: 106.49 111.94 110.03
Atoms (fractional coordinates):
Tc: 0.388 0.388 0.000
Tc: 0.500 0.893 0.393
Tc: 0.612 0.612 0.000
Tc: 0.500 0.107 0.607
Ac: 0.704 0.316 0.021
Ac: 0.788 0.008 0.220
Ac: 0.212 0.432 0.220
Ac: 0.521 0.812 0.708
Ac: 0.296 0.316 0.612
Ac: 0.296 0.684 0.979
Ac: 0.704 0.684 0.388
Ac: 0.896 0.188 0.708
Ac: 0.212 0.992 0.780
Ac: 0.788 0.568 0.780
Ac: 0.104 0.812 0.292
Ac: 0.479 0.188 0.292
Hg: 0.000 0.500 0.500
Hg: 0.000 0.000 0.000



Below is a relaxed structure of Ac2TcHg, with properties calculated at the PBE level.

total DFT energy (no corrections) = -18.94 eV per formula unit
E above lowest polymorph = 0 meV per atom
formation energy from the elements = -1.3 kJ per mole of atoms

abc: 3.747 3.747 8.374
angles: 90.00 90.00 90.00
Atoms (fractional coordinates):
Hg: 0.500 0.500 0.500
Ac: 0.000 0.000 0.784
Ac: 0.000 0.000 0.216
Tc: 0.500 0.500 0.000